No. 1
The following is a PBE calculation of an optimized crystal structure of HfZr2HPb, from Alexandria.

For the total moment, the calculation gives 0.00 μB/f.u. For the density of states at the Fermi level, the calculation gives 0.837 states/eV/atom. As for the total energy: -7.065 eV per atom.

The space group is P4/mmm (No. 123) and the conventional cell measures 4.445, 4.445 and 4.628 Å, with angles of 90.00, 90.00 and 90.00 degrees. The inequivalent atoms are Hf at (0.000, 0.000, 0.000), Zr at (0.000, 0.500, 0.500), H at (0.000, 0.000, 0.500) and Pb at (0.500, 0.500, 0.000).

No. 2
The following is a PBE calculation of an optimized crystal structure of SrPmHgAu, from Alexandria.

For the total moment, the calculation gives 0.00 μB/f.u. For the density of states at the Fermi level, the calculation gives 0.793 states/eV/atom. As for the total energy: -3.083 eV per atom.

The space group is F-43m (No. 216) and the conventional cell measures 7.640, 7.640 and 7.640 Å, with angles of 90.00, 90.00 and 90.00 degrees. The inequivalent atoms are Sr at (0.000, 0.000, 0.000), Pm at (0.000, 0.000, 0.500), Hg at (0.250, 0.250, 0.250) and Au at (0.250, 0.250, 0.750).

No. 3
The following is a PBE calculation of an optimized crystal structure of LiTbGdTm, from Alexandria.

For the total moment, the calculation gives 7.23 μB/f.u. For the density of states at the Fermi level, the calculation gives 0.908 states/eV/atom. As for the total energy: -6.115 eV per atom.

The space group is F-43m (No. 216) and the conventional cell measures 7.726, 7.726 and 7.726 Å, with angles of 90.00, 90.00 and 90.00 degrees. The inequivalent atoms are Li at (0.000, 0.000, 0.000), Tb at (0.250, 0.250, 0.750), Gd at (0.250, 0.250, 0.250) and Tm at (0.000, 0.000, 0.500).

No. 4
The following is a PBE calculation of an optimized crystal structure of LiPdN2F, from Alexandria.

For the total moment, the calculation gives 0.80 μB/f.u. For the density of states at the Fermi level, the calculation gives 0.457 states/eV/atom. The calculation puts the raw formation energy at 2.51 eV per formula unit.

The space group is P4/mmm (No. 123) and the conventional cell measures 3.749, 3.749 and 5.779 Å, with angles of 90.00, 90.00 and 90.00 degrees. The inequivalent atoms are Li at (0.000, 0.000, 0.000), Pd at (0.500, 0.500, 0.500), N at (0.000, 0.500, 0.500) and F at (0.500, 0.500, 0.000).

No. 5
The following is a PBE calculation of an optimized crystal structure of NaRh3F9, from Alexandria.

For the total moment, the calculation gives 1.06 μB/f.u. For the density of states at the Fermi level, the calculation gives 0.337 states/eV/atom. The calculation puts the raw formation energy at -21.04 eV per formula unit.

The space group is P2_1/m (No. 11) and the conventional cell measures 5.354, 7.659 and 8.521 Å, with angles of 90.00, 95.96 and 90.00 degrees. The inequivalent atoms are Na at (0.032, 0.250, 0.424), Rh at (0.000, 0.000, 0.000), Rh at (0.462, 0.002, 0.685), F at (0.124, 0.250, 0.977), F at (0.146, 0.562, 0.793), F at (0.257, 0.550, 0.470), F at (0.320, 0.250, 0.653), F at (0.339, 0.568, 0.112) and F at (0.398, 0.250, 0.299).

No. 6
The following is a PBE calculation of an optimized crystal structure of InFePtRh, from Alexandria.

For the total moment, the calculation gives 3.47 μB/f.u. For the density of states at the Fermi level, the calculation gives 1.178 states/eV/atom. As for the total energy: -6.352 eV per atom.

The space group is F-43m (No. 216) and the conventional cell measures 6.320, 6.320 and 6.320 Å, with angles of 90.00, 90.00 and 90.00 degrees. The inequivalent atoms are In at (0.000, 0.000, 0.000), Fe at (0.000, 0.000, 0.500), Pt at (0.250, 0.250, 0.250) and Rh at (0.250, 0.250, 0.750).